a.
# NiTeSeN2

A relaxed structure of NiTeSeN2 (GGA-PBE, Alexandria). Values from VASP.

Quantum ESPRESSO input file:
```
&SYSTEM
  ibrav = 0, nat = 5, ntyp = 4
/
ATOMIC_SPECIES
Se 78.96 Se.upf
Ni 58.69 Ni.upf
N 14.01 N.upf
Te 127.60 Te.upf
ATOMIC_POSITIONS crystal
Se 0.000 0.000 0.000
Ni 0.500 0.500 0.500
N 0.500 0.000 0.000
N 0.000 0.500 0.000
Te 0.000 0.000 0.500
CELL_PARAMETERS angstrom
-3.276 -0.852 -1.439
-1.320 -0.628 3.376
-1.975 6.771 0.487
```

Output
Symmetry = P4/mmm, No. 123
Magnetization = 0.17 μB per formula unit

---

b.
# NiTeSeN2

A relaxed structure of NiTeSeN2 (GGA-PBE, Alexandria). Values from VASP.

Quantum ESPRESSO input file:
```
&SYSTEM
  ibrav = 0, nat = 5, ntyp = 4
/
ATOMIC_SPECIES
Ni 58.69 Ni.upf
N 14.01 N.upf
Se 78.96 Se.upf
Te 127.60 Te.upf
ATOMIC_POSITIONS crystal
Ni 0.000 0.000 0.000
N 0.500 0.000 0.000
Se 0.000 0.000 0.500
Te 0.500 0.500 0.500
N 0.000 0.500 0.000
CELL_PARAMETERS angstrom
3.921 0.000 0.000
0.000 3.921 0.000
0.000 0.000 5.023
```

Output
Symmetry = P4/mmm, No. 123
Magnetization = 2.73 μB per formula unit

---

So which one is most stable? That would be b, about 289 meV per atom below the next structure.

---

a.
# NiTeSeN2

A relaxed structure of NiTeSeN2 (GGA-PBE, Alexandria). Values from VASP.

Quantum ESPRESSO input file:
```
&SYSTEM
  ibrav = 0, nat = 5, ntyp = 4
/
ATOMIC_SPECIES
Te 127.60 Te.upf
N 14.01 N.upf
Se 78.96 Se.upf
Ni 58.69 Ni.upf
ATOMIC_POSITIONS crystal
Te 0.000 0.000 0.500
N 0.500 0.000 0.000
Se 0.500 0.500 0.500
N 0.000 0.500 0.000
Ni 0.000 0.000 0.000
CELL_PARAMETERS angstrom
3.810 0.000 0.000
0.000 3.810 0.000
0.000 0.000 5.681
```

Output
Symmetry = P4/mmm, No. 123
Magnetization = 0.01 μB per formula unit

---

b.
# NiTeSeN2

A relaxed structure of NiTeSeN2 (GGA-PBE, Alexandria). Values from VASP.

Quantum ESPRESSO input file:
```
&SYSTEM
  ibrav = 0, nat = 5, ntyp = 4
/
ATOMIC_SPECIES
Se 78.96 Se.upf
Te 127.60 Te.upf
N 14.01 N.upf
Ni 58.69 Ni.upf
ATOMIC_POSITIONS crystal
Se 0.000 0.000 0.500
Te 0.000 0.000 0.000
N 0.000 0.500 0.000
Ni 0.500 0.500 0.500
N 0.500 0.000 0.000
CELL_PARAMETERS angstrom
3.862 0.000 0.000
0.000 3.862 0.000
0.000 0.000 5.943
```

Output
Symmetry = P4/mmm, No. 123
Magnetization = 1.10 μB per formula unit

---

So which one is most stable? That would be a, about 195 meV per atom below the next structure.